Record 1
A geometry-optimized Mn3BiRh structure, computed with PBEsol.

The value obtained for the density of states at the Fermi level is 1.06 states/eV per atom. As for the energy relative to the elements: 1.9010 eV per atom.

The space group is Pm-3m (No. 221) and the conventional cell measures 4.927, 4.927 and 4.927 Å, with angles of 90.00, 90.00 and 90.00 degrees. Symmetry generates all atoms from Mn at (0.000, 0.000, 0.500), Bi at (0.000, 0.000, 0.000) and Rh at (0.500, 0.500, 0.500).


Record 2
A geometry-optimized MnBiRh3 structure, computed with PBEsol.

The value obtained for the density of states at the Fermi level is 0.98 states/eV per atom. As for the energy relative to the elements: 0.7691 eV per atom.

The space group is Pm-3m (No. 221) and the conventional cell measures 4.441, 4.441 and 4.441 Å, with angles of 90.00, 90.00 and 90.00 degrees. Symmetry generates all atoms from Mn at (0.000, 0.000, 0.000), Bi at (0.500, 0.500, 0.500) and Rh at (0.000, 0.000, 0.500).


Record 3
A geometry-optimized MnBiS2 structure, computed with PBEsol.

The value obtained for the density of states at the Fermi level is 0.55 states/eV per atom. For the total DFT energy (no corrections), the calculation gives -73.741 eV per cell.

The space group is R-3m (No. 166, hexagonal axes) and the conventional cell measures 3.3498, 3.3498 and 24.3836 Å, with angles of 90.00, 90.00 and 120.00 degrees. Symmetry generates all atoms from Mn at (0.0000, 0.0000, 0.0000), Bi at (0.0000, 0.0000, 0.5000) and S at (0.0000, 0.0000, 0.3846).


Record 4
A geometry-optimized MnBiS3 structure, computed with PBEsol.

The value obtained for the density of states at the Fermi level is 0.66 states/eV per atom. For the total DFT energy (no corrections), the calculation gives -23.478 eV per cell.

The space group is Pm-3m (No. 221) and the conventional cell measures 5.102, 5.102 and 5.102 Å, with angles of 90.00, 90.00 and 90.00 degrees. Symmetry generates all atoms from Mn at (0.000, 0.000, 0.000), Bi at (0.500, 0.500, 0.500) and S at (0.000, 0.500, 0.500).


Record 5
A geometry-optimized MnBiS2 structure, computed with PBEsol.

The value obtained for the density of states at the Fermi level is 0.40 states/eV per atom. For the total DFT energy (no corrections), the calculation gives -67.633 eV per cell.

The space group is R-3m (No. 166, hexagonal axes) and the conventional cell measures 4.1732, 4.1732 and 21.9521 Å, with angles of 90.00, 90.00 and 120.00 degrees. Symmetry generates all atoms from Mn at (0.0000, 0.0000, 0.0000), Bi at (0.0000, 0.0000, 0.5000) and S at (0.0000, 0.0000, 0.1015).


Record 6
A geometry-optimized YMn2BiS structure, computed with PBEsol.

The value obtained for the density of states at the Fermi level is 0.86 states/eV per atom. For the total DFT energy (no corrections), the calculation gives -30.240 eV per cell.

The space group is P4/mmm (No. 123) and the conventional cell measures 5.216, 5.216 and 4.893 Å, with angles of 90.00, 90.00 and 90.00 degrees. Symmetry generates all atoms from Y at (0.000, 0.000, 0.000), Mn at (0.000, 0.500, 0.000), Bi at (0.500, 0.500, 0.500) and S at (0.000, 0.000, 0.500).


Record 7
A geometry-optimized Mn3BiSb structure, computed with PBEsol.

The value obtained for the density of states at the Fermi level is 1.34 states/eV per atom. For the total DFT energy (no corrections), the calculation gives -31.307 eV per cell.

The space group is Pm-3m (No. 221) and the conventional cell measures 5.063, 5.063 and 5.063 Å, with angles of 90.00, 90.00 and 90.00 degrees. Symmetry generates all atoms from Mn at (0.000, 0.000, 0.500), Bi at (0.000, 0.000, 0.000) and Sb at (0.500, 0.500, 0.500).


Record 8
A geometry-optimized MnBi2Sb2 structure, computed with PBEsol.

The value obtained for the density of states at the Fermi level is 0.75 states/eV per atom. For the total DFT energy (no corrections), the calculation gives -49.728 eV per cell.

The space group is I4/mmm (No. 139) and the conventional cell measures 4.032, 4.032 and 17.790 Å, with angles of 90.00, 90.00 and 90.00 degrees. Symmetry generates all atoms from Mn at (0.000, 0.000, 0.000), Bi at (0.000, 0.000, 0.414) and Sb at (0.000, 0.500, 0.250).


Record 9
A geometry-optimized MnBiSb2 structure, computed with PBEsol.

The value obtained for the density of states at the Fermi level is 0.28 states/eV per atom. For the total DFT energy (no corrections), the calculation gives -86.796 eV per cell.

The space group is I-42d (No. 122) and the conventional cell measures 6.364, 6.364 and 13.106 Å, with angles of 90.00, 90.00 and 90.00 degrees. Symmetry generates all atoms from Mn at (0.000, 0.000, 0.000), Bi at (0.000, 0.000, 0.500) and Sb at (0.194, 0.250, 0.125).


Record 10
A geometry-optimized MnBiSb2Te structure, computed with PBEsol.

The value obtained for the density of states at the Fermi level is 1.02 states/eV per atom. For the total DFT energy (no corrections), the calculation gives -20.331 eV per cell.

The space group is P4/mmm (No. 123) and the conventional cell measures 5.763, 5.763 and 5.740 Å, with angles of 90.00, 90.00 and 90.00 degrees. Symmetry generates all atoms from Mn at (0.000, 0.000, 0.000), Bi at (0.500, 0.500, 0.500), Sb at (0.000, 0.500, 0.500) and Te at (0.500, 0.500, 0.000).


Record 11
A geometry-optimized MnBi2Se4 structure, computed with PBEsol.

The value obtained for the density of states at the Fermi level is 0.00 states/eV per atom. For the total DFT energy (no corrections), the calculation gives -144.628 eV per cell.

The space group is C2/m (No. 12) and the conventional cell measures 13.061, 4.020 and 15.030 Å, with angles of 90.00, 115.46 and 90.00 degrees. Symmetry generates all atoms from Mn at (0.000, 0.000, 0.000), Mn at (0.000, 0.000, 0.500), Bi at (0.153, 0.500, 0.357), Bi at (0.216, 0.000, 0.870), Se at (0.014, 0.000, 0.674), Se at (0.095, 0.500, 0.942), Se at (0.155, 0.500, 0.544) and Se at (0.163, 0.000, 0.179).


Record 12
A geometry-optimized Mn2SiBi structure, computed with PBEsol.

The value obtained for the density of states at the Fermi level is 1.26 states/eV per atom. For the total DFT energy (no corrections), the calculation gives -108.076 eV per cell.

The space group is I-42d (No. 122) and the conventional cell measures 4.098, 4.098 and 16.479 Å, with angles of 90.00, 90.00 and 90.00 degrees. Symmetry generates all atoms from Mn at (0.139, 0.250, 0.125), Si at (0.000, 0.000, 0.000) and Bi at (0.000, 0.000, 0.500).


Record 13
A geometry-optimized Sr3MnBi structure, computed with PBEsol.

The value obtained for the density of states at the Fermi level is 0.74 states/eV per atom. As for the energy relative to the elements: 0.2474 eV per atom.

The space group is Pm-3m (No. 221) and the conventional cell measures 5.600, 5.600 and 5.600 Å, with angles of 90.00, 90.00 and 90.00 degrees. Symmetry generates all atoms from Sr at (0.000, 0.000, 0.500), Mn at (0.000, 0.000, 0.000) and Bi at (0.500, 0.500, 0.500).


Record 14
A geometry-optimized SrMn3Bi structure, computed with PBEsol.

The value obtained for the density of states at the Fermi level is 1.77 states/eV per atom. As for the energy relative to the elements: 1.0802 eV per atom.

The space group is Pm-3m (No. 221) and the conventional cell measures 5.112, 5.112 and 5.112 Å, with angles of 90.00, 90.00 and 90.00 degrees. Symmetry generates all atoms from Sr at (0.000, 0.000, 0.000), Mn at (0.000, 0.500, 0.500) and Bi at (0.500, 0.500, 0.500).


Record 15
A geometry-optimized MnTc3Bi structure, computed with PBEsol.

The value obtained for the density of states at the Fermi level is 1.18 states/eV per atom. As for the energy relative to the elements: 2.6316 eV per atom.

The space group is Pm-3m (No. 221) and the conventional cell measures 4.893, 4.893 and 4.893 Å, with angles of 90.00, 90.00 and 90.00 degrees. Symmetry generates all atoms from Mn at (0.000, 0.000, 0.000), Tc at (0.000, 0.500, 0.500) and Bi at (0.500, 0.500, 0.500).


Record 16
A geometry-optimized Mn3TcBi structure, computed with PBEsol.

The value obtained for the density of states at the Fermi level is 1.56 states/eV per atom. As for the energy relative to the elements: 2.2416 eV per atom.

The space group is Pm-3m (No. 221) and the conventional cell measures 4.892, 4.892 and 4.892 Å, with angles of 90.00, 90.00 and 90.00 degrees. Symmetry generates all atoms from Mn at (0.000, 0.000, 0.500), Tc at (0.500, 0.500, 0.500) and Bi at (0.000, 0.000, 0.000).


Record 17
A geometry-optimized MnBiTe3 structure, computed with PBEsol.

The value obtained for the density of states at the Fermi level is 1.00 states/eV per atom. For the total DFT energy (no corrections), the calculation gives -19.746 eV per cell.

The space group is Pm-3m (No. 221) and the conventional cell measures 5.782, 5.782 and 5.782 Å, with angles of 90.00, 90.00 and 90.00 degrees. Symmetry generates all atoms from Mn at (0.000, 0.000, 0.000), Bi at (0.500, 0.500, 0.500) and Te at (0.000, 0.500, 0.500).


Record 18
A geometry-optimized Ti4MnBi2 structure, computed with PBEsol.

The value obtained for the density of states at the Fermi level is 0.82 states/eV per atom. As for the energy relative to the elements: -0.3017 eV per atom.

The space group is I4/mcm (No. 140) and the conventional cell measures 10.384, 10.384 and 4.939 Å, with angles of 90.00, 90.00 and 90.00 degrees. Symmetry generates all atoms from Ti at (0.081, 0.193, 0.000), Mn at (0.000, 0.000, 0.250) and Bi at (0.138, 0.362, 0.500).


Record 19
A geometry-optimized MnTlBi2 structure, computed with PBEsol.

The value obtained for the density of states at the Fermi level is 0.55 states/eV per atom. As for the energy relative to the elements: 0.4869 eV per atom.

The space group is I-42d (No. 122) and the conventional cell measures 5.388, 5.388 and 17.764 Å, with angles of 90.00, 90.00 and 90.00 degrees. Symmetry generates all atoms from Mn at (0.000, 0.000, 0.000), Tl at (0.000, 0.000, 0.500) and Bi at (0.168, 0.250, 0.125).


Record 20
A geometry-optimized Mn2Bi2W structure, computed with PBEsol.

The value obtained for the density of states at the Fermi level is 0.93 states/eV per atom. As for the energy relative to the elements: 1.2236 eV per atom.

The space group is I4/mmm (No. 139) and the conventional cell measures 5.279, 5.279 and 7.153 Å, with angles of 90.00, 90.00 and 90.00 degrees. Symmetry generates all atoms from Mn at (0.000, 0.000, 0.157), Bi at (0.000, 0.500, 0.250) and W at (0.000, 0.000, 0.500).


Record 21
A geometry-optimized MnBi3W structure, computed with PBEsol.

The value obtained for the density of states at the Fermi level is 0.73 states/eV per atom. As for the energy relative to the elements: 1.4239 eV per atom.

The space group is Pm-3m (No. 221) and the conventional cell measures 5.075, 5.075 and 5.075 Å, with angles of 90.00, 90.00 and 90.00 degrees. Symmetry generates all atoms from Mn at (0.000, 0.000, 0.000), Bi at (0.000, 0.000, 0.500) and W at (0.500, 0.500, 0.500).


Record 22
A geometry-optimized YMnBi2 structure, computed with PBEsol.

The value obtained for the density of states at the Fermi level is 0.38 states/eV per atom. As for the energy relative to the elements: 0.2978 eV per atom.

The space group is I-42d (No. 122) and the conventional cell measures 5.797, 5.797 and 16.028 Å, with angles of 90.00, 90.00 and 90.00 degrees. Symmetry generates all atoms from Y at (0.000, 0.000, 0.000), Mn at (0.000, 0.000, 0.500) and Bi at (0.191, 0.250, 0.625).


Record 23
A geometry-optimized Zr6MnBi2 structure, computed with PBEsol.

The value obtained for the density of states at the Fermi level is 0.92 states/eV per atom. As for the energy relative to the elements: -0.3207 eV per atom.

The space group is P-62m (No. 189) and the conventional cell measures 7.8468, 7.8468 and 3.6210 Å, with angles of 90.00, 90.00 and 120.00 degrees. Symmetry generates all atoms from Zr at (0.0000, 0.3901, 0.0000), Zr at (0.0000, 0.7634, 0.5000), Mn at (0.0000, 0.0000, 0.0000) and Bi at (0.3333, 0.6667, 0.5000).


Record 24
A geometry-optimized BiMo3N structure, computed with PBEsol.

The value obtained for the density of states at the Fermi level is 1.33 states/eV per atom. For the total DFT energy (no corrections), the calculation gives -28.905 eV per cell.

The space group is Pm-3m (No. 221) and the conventional cell measures 4.988, 4.988 and 4.988 Å, with angles of 90.00, 90.00 and 90.00 degrees. Symmetry generates all atoms from Bi at (0.000, 0.000, 0.000), Mo at (0.000, 0.000, 0.500) and N at (0.500, 0.500, 0.500).


Record 25
A geometry-optimized TiNiBi2Mo structure, computed with PBEsol.

The value obtained for the density of states at the Fermi level is 0.92 states/eV per atom. As for the energy relative to the elements: 1.2818 eV per atom.

The space group is P4/mmm (No. 123) and the conventional cell measures 5.245, 5.245 and 4.400 Å, with angles of 90.00, 90.00 and 90.00 degrees. Symmetry generates all atoms from Ti at (0.000, 0.000, 0.000), Ni at (0.500, 0.500, 0.500), Bi at (0.000, 0.500, 0.000) and Mo at (0.000, 0.000, 0.500).


Record 26
A geometry-optimized Bi2MoO6 structure, computed with PBEsol.

The value obtained for the density of states at the Fermi level is 0.20 states/eV per atom. For the total DFT energy (no corrections), the calculation gives -265.429 eV per cell.

The space group is Cmce (No. 64) and the conventional cell measures 5.342, 16.456 and 5.388 Å, with angles of 90.00, 90.00 and 90.00 degrees. Symmetry generates all atoms from Bi at (0.000, 0.172, 0.020), Mo at (0.000, 0.000, 0.500), O at (0.000, 0.111, 0.424), O at (0.250, 0.019, 0.750) and O at (0.250, 0.248, 0.750).